Compound: K2NaAg
Source: Alexandria
Functional: PBE
Structure: optimized geometry

energy: -1.5362 eV/atom
ρ: 1.903 g/cm3
V: 182.4 Å³/f.u.
crystal system: orthorhombic
energy above the lowest structure with this stoichiometry: 58 meV/atom

```
K2NaAg
1.0
-0.5402 4.4704 -1.6659
-5.9296 0.6560 -3.2356
-4.7822 3.3056 3.5020
Na Ag K
1 1 2
Direct
0.2500 0.1869 0.3131 Na
0.7500 0.9287 0.5713 Ag
0.4462 0.4961 0.6116 K
0.0538 0.8884 0.0039 K
```

Compound: Ce2P7Rh12
Source: Alexandria
Functional: PBE
Structure: optimized geometry

energy: -7.4880 eV/atom
ρ: 9.194 g/cm3
V: 312.8 Å³/f.u.
crystal system: trigonal

```
Ce2P7Rh12
1.0
-1.5318 3.5665 -0.2631
-6.4729 -3.2488 -6.3547
-1.9989 -0.1634 9.4241
Rh Ce P
12 2 7
Direct
0.2492 0.9316 0.5507 Rh
0.2491 0.1112 0.2602 Rh
0.2492 0.4493 0.3809 Rh
0.7508 0.5507 0.6191 Rh
0.7509 0.8888 0.7398 Rh
0.7509 0.8510 0.1112 Rh
0.2491 0.7398 0.8510 Rh
0.2492 0.6191 0.0684 Rh
0.7508 0.0684 0.4493 Rh
0.7509 0.2602 0.1490 Rh
0.7508 0.3809 0.9316 Rh
0.2491 0.1490 0.8888 Rh
0.2529 0.3333 0.6667 Ce
0.7471 0.6667 0.3333 Ce
0.5000 0.0000 0.0000 P
0.7543 0.2864 0.4020 P
0.2457 0.8844 0.2864 P
0.7543 0.1156 0.7136 P
0.2457 0.4020 0.1156 P
0.7543 0.5980 0.8844 P
0.2457 0.7136 0.5980 P
```

Compound: ThBe2GaCu4
Source: Alexandria
Functional: PBE
Structure: optimized geometry

energy: -4.3355 eV/atom
ρ: 8.113 g/cm3
V: 117.5 Å³/f.u.
crystal system: trigonal

```
ThBe2GaCu4
1.0
3.9565 0.0000 0.0000
1.9782 3.4264 0.0000
1.9782 1.1421 8.6663
Cu Th Be Ga
4 1 2 1
Direct
0.1237 0.1237 0.6288 Cu
0.4072 0.4072 0.7785 Cu
0.5928 0.5928 0.2215 Cu
0.8763 0.8763 0.3712 Cu
0.0000 0.0000 0.0000 Th
0.2371 0.2371 0.2887 Be
0.7629 0.7629 0.7113 Be
0.5000 0.5000 0.5000 Ga
```

Compound: InWBr2
Source: Alexandria
Functional: PBE
Structure: optimized geometry

energy: -4.3863 eV/atom
ρ: 7.574 g/cm3
V: 100.5 Å³/f.u.
crystal system: orthorhombic
raw formation energy: 0.37 eV per atom
energy above the lowest structure with this stoichiometry: 251 meV/atom

```
InWBr2
1.0
3.4542 0.0010 0.0000
-1.8758 2.9005 0.0000
0.0000 0.0000 10.0309
W Br In
1 2 1
Direct
0.5000 0.5000 0.7447 W
0.0000 0.0000 0.9388 Br
0.5000 0.5000 0.2995 Br
0.0000 0.0000 0.5170 In
```

Compound: TmSi4Pt12
Source: Alexandria
Functional: PBE
Structure: optimized geometry

energy: -6.2742 eV/atom
ρ: 14.755 g/cm3
V: 295.1 Å³/f.u.
crystal system: cubic
raw formation energy: -0.47 eV per atom

```
TmSi4Pt12
1.0
-2.6599 2.2212 -6.3846
0.7646 -7.2237 -0.0765
-4.5708 1.8950 5.3187
Pt Si Tm
12 4 1
Direct
0.4998 0.1610 0.3388 Pt
0.3388 0.4998 0.1610 Pt
0.8390 0.3388 0.1779 Pt
0.3388 0.1779 0.8390 Pt
0.5002 0.8390 0.6612 Pt
0.6612 0.5002 0.8390 Pt
0.8221 0.1610 0.6612 Pt
0.6612 0.8221 0.1610 Pt
0.1779 0.8390 0.3388 Pt
0.1610 0.3388 0.4998 Pt
0.8390 0.6612 0.5002 Pt
0.1610 0.6612 0.8221 Pt
0.0000 0.5000 0.0000 Si
0.5000 0.5000 0.5000 Si
0.0000 0.0000 0.5000 Si
0.5000 0.0000 0.0000 Si
0.0000 0.0000 0.0000 Tm
```

Compound: Sm2Dy5Tm3
Source: Alexandria
Functional: PBE
Structure: optimized geometry

energy: -4.1701 eV/atom
ρ: 7.932 g/cm3
V: 339.2 Å³/f.u.
crystal system: orthorhombic
energy above the lowest structure with this stoichiometry: 201 meV/atom

```
Sm2Dy5Tm3
1.0
6.7372 0.0000 0.0000
3.3686 11.4214 2.8482
3.3686 5.7770 10.2561
Tm Dy Sm
6 10 4
Direct
0.7500 0.0000 0.0000 Tm
0.6234 0.6273 0.1258 Tm
0.3766 0.3727 0.8742 Tm
0.2500 0.0000 0.0000 Tm
0.1234 0.1258 0.6273 Tm
0.8766 0.8742 0.3727 Tm
0.3751 0.7157 0.5341 Dy
0.5004 0.7496 0.7496 Dy
0.2500 0.5000 0.5000 Dy
0.7500 0.5000 0.5000 Dy
0.9996 0.2504 0.2504 Dy
0.1249 0.4659 0.2843 Dy
0.0004 0.7496 0.7496 Dy
0.6249 0.2843 0.4659 Dy
0.4996 0.2504 0.2504 Dy
0.8751 0.5341 0.7157 Dy
0.8756 0.2243 0.0246 Sm
0.1244 0.7757 0.9754 Sm
0.3756 0.0246 0.2243 Sm
0.6244 0.9754 0.7757 Sm
```